# 1
Computed, not measured: ZnGaC3 at its PBEsol-relaxed geometry at the SCAN level of DFT.

Unit cell a=3.9547 b=3.9547 c=3.9547 alpha=90.00 beta=90.00 gamma=90.00
Last column: nearest neighbours and their distance in Å.
Fractional positions:
C 0.0000 0.0000 0.5000  2 Ga 1.98
C 0.0000 0.5000 0.0000  2 Ga 1.98
Ga 0.0000 0.0000 0.0000  6 C 1.98
Zn 0.5000 0.5000 0.5000  12 C 2.80
C 0.5000 0.0000 0.0000  2 Ga 1.98

SG ... Pm-3m, No. 221
E_form ... 2.801 eV per atom

# 2
Computed, not measured: KPb2Cl5 at its PBEsol-relaxed geometry at the SCAN level of DFT.

Unit cell a=7.9690 b=8.7007 c=12.2998 alpha=90.00 beta=90.00 gamma=90.00
Last column: nearest neighbours and their distance in Å.
Fractional positions:
Cl 0.0446 0.7442 0.4967  3 Pb 2.97-3.31, 2 K 3.06-3.08
Pb 0.4172 0.7471 0.5039  7 Cl 2.86-2.97
Cl 0.6550 0.9535 0.3994  3 Pb 2.88-2.99, 1 K 3.15
K 0.9694 0.5050 0.6727  8 Cl 3.06-3.26
Pb 0.0828 0.7471 0.0039  7 Cl 2.86-2.97
Cl 0.3092 0.7587 0.2757  3 Pb 2.94-3.28, 2 K 3.10-3.15
Pb 0.9983 0.0163 0.6818  5 Cl 2.75-2.99
Cl 0.1550 0.4535 0.1006  3 Pb 2.88-2.99, 1 K 3.15
Cl 0.9554 0.2442 0.5033  3 Pb 2.97-3.31, 2 K 3.06-3.08
Cl 0.8518 0.7350 0.1895  2 Pb 2.75-2.94
Cl 0.8450 0.9535 0.8994  3 Pb 2.88-2.99, 1 K 3.15
Pb 0.0017 0.5163 0.3182  5 Cl 2.75-2.99
Cl 0.3236 0.0402 0.5895  3 Pb 2.84-2.97, 1 K 3.16
K 0.0306 0.0050 0.3273  8 Cl 3.06-3.26
Cl 0.5446 0.2442 0.0033  3 Pb 2.97-3.31, 2 K 3.06-3.08
Cl 0.1764 0.0402 0.0895  3 Pb 2.84-2.97, 1 K 3.16
Pb 0.5017 0.0163 0.1818  5 Cl 2.75-2.99
Cl 0.8236 0.5402 0.9105  3 Pb 2.84-2.97, 1 K 3.16
K 0.5306 0.5050 0.1727  8 Cl 3.06-3.26
Cl 0.3518 0.2350 0.3105  2 Pb 2.75-2.94
Pb 0.9172 0.2471 0.9961  7 Cl 2.86-2.97
Cl 0.8092 0.2587 0.2243  3 Pb 2.94-3.28, 2 K 3.10-3.15
Cl 0.6764 0.5402 0.4105  3 Pb 2.84-2.97, 1 K 3.16
Cl 0.1908 0.7587 0.7757  3 Pb 2.94-3.28, 2 K 3.10-3.15
Pb 0.5828 0.2471 0.4961  7 Cl 2.86-2.97
Cl 0.6908 0.2587 0.7243  3 Pb 2.94-3.28, 2 K 3.10-3.15
K 0.4694 0.0050 0.8273  8 Cl 3.06-3.26
Pb 0.4983 0.5163 0.8182  5 Cl 2.75-2.99
Cl 0.6482 0.7350 0.6895  2 Pb 2.75-2.94
Cl 0.4554 0.7442 0.9967  3 Pb 2.97-3.31, 2 K 3.06-3.08
Cl 0.1482 0.2350 0.8105  2 Pb 2.75-2.94
Cl 0.3450 0.4535 0.6006  3 Pb 2.88-2.99, 1 K 3.15

SG ... Pna2_1, No. 33
Relative energy among the computed polymorphs ... 12.9 meV per atom
Formation energy without anion corrections ... -1486.6 meV/atom

# 3
Computed, not measured: LiMn2O3F at its PBEsol-relaxed geometry at the SCAN level of DFT.

Unit cell a=4.8926 b=5.7085 c=10.0347 alpha=90.00 beta=90.00 gamma=90.00
Last column: nearest neighbours and their distance in Å.
Fractional positions:
Mn 0.9668 0.7417 0.7300  4 O 1.94-2.13, 1 F 2.09
O 0.1597 0.7507 0.9053  1 Li 1.84, 3 Mn 1.89-2.00
Mn 0.5221 0.0059 0.4867  5 O 1.89-1.99
O 0.7292 0.7495 0.5753  3 Mn 1.94-1.99, 1 Li 1.97
O 0.2708 0.2495 0.4247  3 Mn 1.94-1.99, 1 Li 1.97
O 0.8403 0.2507 0.0947  1 Li 1.84, 3 Mn 1.89-2.00
F 0.7763 0.4970 0.3500  1 Li 1.86
O 0.3403 0.7507 0.4053  1 Li 1.84, 3 Mn 1.89-2.00
Mn 0.4779 0.5059 0.5133  5 O 1.89-1.99
Li 0.5342 0.7547 0.9161  3 O 1.84-1.97, 1 F 1.86
F 0.2237 0.9970 0.6500  1 Li 1.86
O 0.2673 0.5004 0.1686  1 Li 1.91, 3 Mn 1.97-2.13
Mn 0.0221 0.5059 0.0133  5 O 1.89-1.99
Mn 0.0332 0.2417 0.2700  4 O 1.94-2.13, 1 F 2.09
O 0.7673 0.0004 0.3314  1 Li 1.91, 3 Mn 1.97-2.13
Li 0.4658 0.2547 0.0839  3 O 1.84-1.97, 1 F 1.86
O 0.7708 0.7495 0.0753  3 Mn 1.94-1.99, 1 Li 1.97
O 0.2327 0.5004 0.6686  1 Li 1.91, 3 Mn 1.97-2.13
O 0.7327 0.0004 0.8314  1 Li 1.91, 3 Mn 1.97-2.13
Li 0.0342 0.2547 0.5839  3 O 1.84-1.97, 1 F 1.86
F 0.7237 0.4970 0.8500  1 Li 1.86
Mn 0.5332 0.7417 0.2300  4 O 1.94-2.13, 1 F 2.09
O 0.2292 0.2495 0.9247  3 Mn 1.94-1.99, 1 Li 1.97
Mn 0.9779 0.0059 0.9867  5 O 1.89-1.99
F 0.2763 0.9970 0.1500  1 Li 1.86
Li 0.9658 0.7547 0.4161  3 O 1.84-1.97, 1 F 1.86
Mn 0.4668 0.2417 0.7700  4 O 1.94-2.13, 1 F 2.09
O 0.6597 0.2507 0.5947  1 Li 1.84, 3 Mn 1.89-2.00

SG ... Pna2_1, No. 33
Relative energy among the computed polymorphs ... 52.9 meV per atom
Formation energy without anion corrections ... -2346.9 meV/atom

# 4
Computed, not measured: KNaLa2Sn at its PBEsol-relaxed geometry at the SCAN level of DFT.

Unit cell a=5.3521 b=5.8095 c=5.8095 alpha=90.00 beta=90.00 gamma=90.00
Last column: nearest neighbours and their distance in Å.
Fractional positions:
K 0.5000 0.5000 0.5000  8 La 3.95, 4 Sn 4.11
La 0.0000 0.0000 0.5000  2 Na 2.90
Sn 0.5000 0.0000 0.0000  2 Na 2.68
La 0.0000 0.5000 0.0000  2 Na 2.90
Na 0.0000 0.0000 0.0000  2 Sn 2.68, 4 La 2.90

SG ... P4/mmm, No. 123
E_form ... 0.367 eV per atom